1.
Below is an optimized crystal structure of LiTbTm2, with properties calculated at the GGA-PBE level.

Cell: 3.4753 3.4753 11.2447 Å, 81.11 81.11 60.00°
Sites, in units of the cell vectors:
Li 0.6665 0.6665 0.0005
Tb 0.5001 0.5001 0.4998
Tm 0.2520 0.2520 0.2439
Tm 0.0814 0.0814 0.7559

Computed properties:
energy of formation from the pure elements	0.1092	eV per atom
crystal system	trigonal
calculated total energy	-15.1	eV for the cell shown
size of the total moment	0.0	Bohr magnetons per cell

2.
Below is an optimized crystal structure of LiTbTm, with properties calculated at the GGA-PBE level.

Cell: 3.6099 3.6099 6.7622 Å, 105.48 105.48 90.00°
Sites, in units of the cell vectors:
Tb 0.3224 0.3224 0.6448
Li 0.6647 0.6647 0.3293
Tm 0.0129 0.0129 0.0259

Computed properties:
energy of formation from the pure elements	0.0947	eV per atom
crystal system	tetragonal
calculated total energy	-10.7	eV for the cell shown
size of the total moment	0.0	Bohr magnetons per cell

3.
Below is an optimized crystal structure of Li2TbTm, with properties calculated at the GGA-PBE level.

Cell: 3.2973 3.2973 11.9050 Å, 82.04 82.04 60.00°
Sites, in units of the cell vectors:
Li 0.0877 0.0877 0.7368
Li 0.9123 0.9123 0.2632
Tm 0.0000 0.0000 0.0000
Tb 0.5000 0.5000 0.5000

Computed properties:
energy of formation from the pure elements	0.2956	eV per atom
crystal system	trigonal
calculated total energy	-11.7	eV for the cell shown
size of the total moment	0.0	Bohr magnetons per cell

4.
Below is an optimized crystal structure of LiTbTm2, with properties calculated at the GGA-PBE level.

Cell: 3.7221 5.5212 5.5212 Å, 90.00 90.00 90.00°
Sites, in units of the cell vectors:
Li 0.5000 0.5000 0.5000
Tb 0.5000 0.0000 0.0000
Tm 0.0000 0.0000 0.5000
Tm 0.0000 0.5000 0.0000

Computed properties:
energy of formation from the pure elements	0.1752	eV per atom
crystal system	tetragonal
calculated total energy	-14.8	eV for the cell shown
size of the total moment	0.0	Bohr magnetons per cell

5.
Below is an optimized crystal structure of LiTb2Tm, with properties calculated at the GGA-PBE level.

Cell: 3.7468 5.5510 5.5510 Å, 90.00 90.00 90.00°
Sites, in units of the cell vectors:
Li 0.5000 0.0000 0.0000
Tb 0.0000 0.0000 0.5000
Tm 0.5000 0.5000 0.5000
Tb 0.0000 0.5000 0.0000

Computed properties:
energy of formation from the pure elements	0.1336	eV per atom
crystal system	tetragonal
calculated total energy	-15.1	eV for the cell shown
size of the total moment	0.0	Bohr magnetons per cell

6.
Below is an optimized crystal structure of LiTb2Tm, with properties calculated at the GGA-PBE level.

Cell: 3.4828 3.4828 11.3725 Å, 81.18 81.18 59.95°
Sites, in units of the cell vectors:
Tb 0.2491 0.2491 0.2528
Tb 0.0846 0.0846 0.7474
Li 0.4997 0.4997 0.4998
Tm 0.6665 0.6665 0.0000

Computed properties:
energy of formation from the pure elements	0.0831	eV per atom
crystal system	trigonal
calculated total energy	-15.3	eV for the cell shown
size of the total moment	0.0	Bohr magnetons per cell

7.
Below is an optimized crystal structure of Li4TbTm, with properties calculated at the GGA-PBE level.

Cell: 5.8154 5.8154 5.8154 Å, 60.00 60.00 60.00°
Sites, in units of the cell vectors:
Li 0.1244 0.6252 0.6252
Li 0.6252 0.6252 0.6252
Li 0.6252 0.1244 0.6252
Tb 0.2500 0.2500 0.2500
Tm 0.0000 0.0000 0.0000
Li 0.6252 0.6252 0.1244

Computed properties:
energy of formation from the pure elements	0.1205	eV per atom
crystal system	cubic
calculated total energy	-16.0	eV for the cell shown
size of the total moment	0.0	Bohr magnetons per cell

8.
Below is an optimized crystal structure of LiTbTm2, with properties calculated at the GGA-PBE level.

Cell: 3.4283 3.4283 12.1761 Å, 81.91 81.91 60.00°
Sites, in units of the cell vectors:
Tb 0.5000 0.5000 0.5000
Tm 0.0884 0.0884 0.7347
Tm 0.9116 0.9116 0.2653
Li 0.0000 0.0000 0.0000

Computed properties:
energy of formation from the pure elements	0.1925	eV per atom
crystal system	trigonal
calculated total energy	-14.7	eV for the cell shown
size of the total moment	0.0	Bohr magnetons per cell

9.
Below is an optimized crystal structure of LiTb2Tm, with properties calculated at the GGA-PBE level.

Cell: 3.5909 3.5909 8.8252 Å, 90.00 90.00 90.00°
Sites, in units of the cell vectors:
Tb 0.0000 0.0000 0.7724
Tb 0.0000 0.0000 0.2276
Tm 0.5000 0.5000 0.5000
Li 0.5000 0.5000 0.0000

Computed properties:
energy of formation from the pure elements	0.0706	eV per atom
crystal system	tetragonal
calculated total energy	-15.4	eV for the cell shown
size of the total moment	0.0	Bohr magnetons per cell

10.
Below is an optimized crystal structure of LiTbYTm, with properties calculated at the GGA-PBE level.

Cell: 5.4583 5.4583 5.4583 Å, 60.00 60.00 60.00°
Sites, in units of the cell vectors:
Tb 0.2500 0.2500 0.2500
Y 0.7500 0.7500 0.7500
Li 0.0000 0.0000 0.0000
Tm 0.5000 0.5000 0.5000

Computed properties:
energy of formation from the pure elements	0.1655	eV per atom
crystal system	cubic
calculated total energy	-16.8	eV for the cell shown
size of the total moment	0.0	Bohr magnetons per cell

11.
Below is an optimized crystal structure of Li4TbY, with properties calculated at the GGA-PBE level.

Cell: 5.8541 5.8541 5.8541 Å, 60.00 60.00 60.00°
Sites, in units of the cell vectors:
Li 0.6251 0.6251 0.6251
Tb 0.2500 0.2500 0.2500
Li 0.6251 0.6251 0.1246
Li 0.1246 0.6251 0.6251
Y 0.0000 0.0000 0.0000
Li 0.6251 0.1246 0.6251

Computed properties:
energy of formation from the pure elements	0.1131	eV per atom
crystal system	cubic
calculated total energy	-18.1	eV for the cell shown
size of the total moment	0.0	Bohr magnetons per cell

12.
Below is an optimized crystal structure of LiTbY2, with properties calculated at the GGA-PBE level.

Cell: 3.6245 3.6245 8.8414 Å, 90.00 90.00 90.00°
Sites, in units of the cell vectors:
Y 0.0000 0.0000 0.2210
Y 0.0000 0.0000 0.7790
Li 0.5000 0.5000 0.0000
Tb 0.5000 0.5000 0.5000

Computed properties:
energy of formation from the pure elements	0.0605	eV per atom
crystal system	tetragonal
calculated total energy	-19.2	eV for the cell shown
size of the total moment	0.0	Bohr magnetons per cell

13.
Below is an optimized crystal structure of LiTbY, with properties calculated at the GGA-PBE level.

Cell: 3.6509 3.6509 6.8154 Å, 105.54 105.54 90.00°
Sites, in units of the cell vectors:
Li 0.6666 0.6666 0.3332
Y 0.0130 0.0130 0.0261
Tb 0.3204 0.3204 0.6408

Computed properties:
energy of formation from the pure elements	0.0842	eV per atom
crystal system	tetragonal
calculated total energy	-12.8	eV for the cell shown
size of the total moment	0.0	Bohr magnetons per cell

14.
Below is an optimized crystal structure of LiTbY6, with properties calculated at the GGA-PBE level.

Cell: 8.4300 9.3916 6.3117 Å, 41.94 48.10 56.12°
Sites, in units of the cell vectors:
Tb 0.5000 0.5000 0.5000
Y 0.0490 0.4308 0.2831
Y 0.5690 0.2370 0.2429
Y 0.7628 0.9512 0.8552
Y 0.2372 0.0488 0.1448
Y 0.4310 0.7630 0.7571
Li 0.0000 0.0000 0.0000
Y 0.9510 0.5692 0.7169

Computed properties:
energy of formation from the pure elements	0.1420	eV per atom
crystal system	triclinic
calculated total energy	-44.2	eV for the cell shown
size of the total moment	0.0	Bohr magnetons per cell

15.
Below is an optimized crystal structure of LiTbY, with properties calculated at the GGA-PBE level.

Cell: 3.6184 3.6184 12.8140 Å, 90.00 90.00 90.00°
Sites, in units of the cell vectors:
Li 0.0000 0.5000 0.9491
Tb 0.0000 0.5000 0.5981
Y 0.0000 0.5000 0.2153
Li 0.5000 0.0000 0.0509
Tb 0.5000 0.0000 0.4019
Y 0.5000 0.0000 0.7847

Computed properties:
energy of formation from the pure elements	0.0471	eV per atom
crystal system	tetragonal
calculated total energy	-25.7	eV for the cell shown
size of the total moment	0.0	Bohr magnetons per cell